(1)
Ca2FeClO3: optimized geometry, PBE with a Hubbard U.

It has space group P4/nmm (No. 129, origin choice 2), with a = 3.890 Å, b = 3.890 Å, c = 13.853 Å, α = 90.00°, β = 90.00° and γ = 90.00°. Symmetry generates all atoms from Ca at (0.250, 0.250, 0.093), Ca at (0.250, 0.250, 0.337), Fe at (0.250, 0.250, 0.794), Cl at (0.250, 0.250, 0.580), O at (0.250, 0.250, 0.932) and O at (0.250, 0.750, 0.230).

The value obtained for the total energy is -85.0 eV/cell. The size of the total moment is 0.71 μB/atom.

(2)
CaFe2ClO: optimized geometry, PBE with a Hubbard U.

It has space group P4/mmm (No. 123), with a = 4.003 Å, b = 4.003 Å, c = 6.646 Å, α = 90.00°, β = 90.00° and γ = 90.00°. Symmetry generates all atoms from Ca at (0.000, 0.000, 0.000), Fe at (0.000, 0.500, 0.500), Cl at (0.500, 0.500, 0.000) and O at (0.500, 0.500, 0.500).

The value obtained for the total energy is -23.5 eV/cell. The density of states at the Fermi level comes out at 2.5 states/eV per cell. The size of the total moment is 1.33 μB/atom.